VASP calculation (GGA-PBE) on a relaxed structure of HoGaPb2.

Summary:
V: 29.55 A^3/atom
calculated formation energy: 0.14 eV/atom
SG: R-3m, No. 166

Unit cell a=11.072 b=11.072 c=11.072 alpha=18.41 beta=18.41 gamma=18.41
Atoms (fractional coordinates):
Ho  0.000  0.000  0.000
Ga  0.500  0.500  0.500
Pb  0.096  0.096  0.096
Pb  0.904  0.904  0.904